No. 1
DFT (GGA-PBE) results for Pr5Pu after structural relaxation.

Values from the calculation:
The formation energy is 0.09 eV per atom. As for the total magnetization: 1.075 μB per atom. The electronic total energy comes out at -6.28 eV per atom. As for the space-group type: Cmmm.

a = 5.198 Å, b = 5.162 Å, c = 8.190 Å
α = 108.37°, β = 90.00°, γ = 90.00°
Last column: magnetic moment on the atom in μB.
Positions (direct):
Pr 0.000 0.338 0.675  0.01
Pu 0.000 0.000 0.000  5.60
Pr 0.500 0.163 0.327  0.02
Pr 0.500 0.500 0.000  0.09
Pr 0.500 0.837 0.673  0.02
Pr 0.000 0.662 0.325  0.01

=====

No. 2
DFT (GGA-PBE) results for Te3Pd6Se after structural relaxation.

Values from the calculation:
As for the total magnetization: 0.000 μB per atom. The electronic total energy comes out at -4.62 eV per atom. As for the space-group type: Cmc2_1.

a = 5.962 Å, b = 8.633 Å, c = 8.633 Å
α = 108.83°, β = 90.00°, γ = 90.00°
Positions (direct):
Pd 0.625 0.202 0.798
Te 0.986 0.621 0.379
Pd 0.633 0.994 0.006
Pd 0.125 0.798 0.202
Te 0.918 0.094 0.293
Pd 0.133 0.006 0.994
Pd 0.739 0.924 0.476
Pd 0.239 0.076 0.524
Te 0.418 0.906 0.707
Pd 0.199 0.623 0.658
Pd 0.699 0.377 0.342
Pd 0.199 0.342 0.377
Te 0.918 0.707 0.906
Se 0.030 0.194 0.806
Pd 0.739 0.524 0.076
Te 0.418 0.293 0.094
Se 0.530 0.806 0.194
Te 0.486 0.379 0.621
Pd 0.699 0.658 0.623
Pd 0.239 0.476 0.924

=====

No. 3
DFT (GGA-PBE) results for Ba2ScW after structural relaxation.

Values from the calculation:
Its energy above the lowest structure with this stoichiometry is 547 meV/atom. The formation energy is 1.23 eV per atom. As for the total magnetization: 0.405 μB per atom. The electronic total energy comes out at -4.55 eV per atom. As for the space-group type: Fm-3m.

a = 5.667 Å, b = 5.667 Å, c = 5.667 Å
α = 60.00°, β = 60.00°, γ = 60.00°
Last column: magnetic moment on the atom in μB.
Positions (direct):
Sc 0.000 0.000 0.000  -0.52
Ba 0.750 0.750 0.750  -0.01
W 0.500 0.500 0.500  1.96
Ba 0.250 0.250 0.250  -0.01

=====

No. 4
DFT (GGA-PBE) results for RbAl8Cu6 after structural relaxation.

Values from the calculation:
The formation energy is 0.09 eV per atom. As for the total magnetization: 0.000 μB per atom. The electronic total energy comes out at -3.61 eV per atom. As for the space-group type: R-3.

a = 6.686 Å, b = 6.686 Å, c = 6.686 Å
α = 70.22°, β = 70.22°, γ = 70.22°
Positions (direct):
Rb 0.000 0.000 0.000
Cu 0.565 0.168 0.374
Cu 0.435 0.832 0.626
Cu 0.626 0.435 0.832
Al 0.534 0.852 0.209
Al 0.791 0.466 0.148
Al 0.235 0.235 0.235
Cu 0.374 0.565 0.168
Al 0.852 0.209 0.534
Al 0.209 0.534 0.852
Al 0.765 0.765 0.765
Cu 0.832 0.626 0.435
Cu 0.168 0.374 0.565
Al 0.466 0.148 0.791
Al 0.148 0.791 0.466

=====

No. 5
DFT (GGA-PBE) results for YMo6Se8 after structural relaxation.

Values from the calculation:
As for the total magnetization: 0.000 μB per atom. The electronic total energy comes out at -7.33 eV per atom. As for the space-group type: R-3.

a = 6.771 Å, b = 6.771 Å, c = 6.771 Å
α = 89.21°, β = 89.21°, γ = 89.21°
Positions (direct):
Se 0.369 0.123 0.757
Mo 0.233 0.424 0.559
Se 0.243 0.631 0.877
Y 0.000 0.000 0.000
Mo 0.576 0.441 0.767
Mo 0.767 0.576 0.441
Mo 0.424 0.559 0.233
Mo 0.441 0.767 0.576
Mo 0.559 0.233 0.424
Se 0.877 0.243 0.631
Se 0.631 0.877 0.243
Se 0.237 0.237 0.237
Se 0.123 0.757 0.369
Se 0.757 0.369 0.123
Se 0.763 0.763 0.763

=====

No. 6
DFT (GGA-PBE) results for TlHg2Pd2 after structural relaxation.

Values from the calculation:
Its energy above the lowest structure with this stoichiometry is 0 meV/atom. The formation energy is -0.11 eV per atom. As for the total magnetization: 0.000 μB per atom. The electronic total energy comes out at -2.78 eV per atom. As for the space-group type: P-1.

a = 4.964 Å, b = 7.177 Å, c = 7.421 Å
α = 66.83°, β = 70.53°, γ = 69.90°
Positions (direct):
Hg 0.848 0.891 0.712
Pd 0.772 0.349 0.536
Hg 0.152 0.109 0.288
Pd 0.342 0.850 0.035
Pd 0.658 0.150 0.965
Hg 0.452 0.609 0.788
Hg 0.548 0.391 0.212
Pd 0.228 0.651 0.464
Tl 0.200 0.251 0.750
Tl 0.800 0.749 0.250

=====

No. 7
DFT (GGA-PBE) results for Y3SN2 after structural relaxation.

Values from the calculation:
As for the total magnetization: 0.000 μB per atom. The electronic total energy comes out at -8.36 eV per atom. As for the space-group type: I4/mmm.

a = 8.055 Å, b = 8.055 Å, c = 8.055 Å
α = 153.67°, β = 153.67°, γ = 37.57°
Positions (direct):
N 0.669 0.669 0.000
N 0.331 0.331 0.000
Y 0.177 0.177 0.000
S 0.000 0.000 0.000
Y 0.500 0.500 0.000
Y 0.823 0.823 0.000

=====

No. 8
DFT (GGA-PBE) results for Ac3Hg5O12 after structural relaxation.

Values from the calculation:
As for the total magnetization: 0.047 μB per atom. The electronic total energy comes out at -4.90 eV per atom. As for the space-group type: Ia-3d.

a = 12.078 Å, b = 12.078 Å, c = 12.078 Å
α = 109.47°, β = 109.47°, γ = 109.47°
Last column: magnetic moment on the atom in μB.
Positions (direct):
O 0.587 0.957 0.667  0.06
Hg 0.625 0.875 0.250  0.01
O 0.667 0.457 0.587  0.06
Hg 0.750 0.125 0.875  0.01
Ac 0.625 0.375 0.750  0.00
O 0.920 0.087 0.630  0.06
O 0.790 0.333 0.920  0.06
O 0.210 0.667 0.080  0.06
O 0.290 0.870 0.957  0.06
O 0.370 0.957 0.790  0.06
Ac 0.875 0.750 0.125  0.00
O 0.370 0.413 0.080  0.06
O 0.543 0.333 0.913  0.06
Hg 0.750 0.625 0.375  0.01
O 0.167 0.087 0.957  0.06
O 0.630 0.043 0.210  0.06
O 0.543 0.210 0.130  0.06
O 0.833 0.913 0.043  0.06
Hg 0.875 0.625 0.750  0.01
O 0.290 0.420 0.833  0.06
Hg 0.000 0.500 0.000  0.06
Ac 0.125 0.250 0.875  0.00
O 0.333 0.790 0.420  0.06
Hg 0.000 0.000 0.000  0.06
Ac 0.625 0.250 0.375  0.00
O 0.580 0.870 0.413  0.06
O 0.870 0.580 0.913  0.06
O 0.087 0.920 0.130  0.06
O 0.413 0.043 0.333  0.06
Hg 0.875 0.250 0.625  0.01
Ac 0.750 0.875 0.625  0.00
O 0.080 0.167 0.210  0.06
O 0.457 0.790 0.870  0.06
O 0.043 0.413 0.833  0.06
Hg 0.125 0.375 0.250  0.01
Hg 0.250 0.875 0.125  0.01
Ac 0.875 0.125 0.250  0.00
O 0.080 0.913 0.370  0.06
O 0.167 0.080 0.710  0.06
Hg 0.000 0.000 0.500  0.06
Ac 0.375 0.625 0.250  0.00
O 0.580 0.710 0.667  0.06
O 0.870 0.290 0.457  0.06
Hg 0.625 0.750 0.875  0.01
O 0.420 0.130 0.587  0.06
O 0.587 0.630 0.420  0.06
O 0.667 0.210 0.580  0.06
Hg 0.500 0.500 0.500  0.06
Hg 0.250 0.375 0.625  0.01
O 0.333 0.543 0.413  0.06
Ac 0.125 0.875 0.750  0.00
Hg 0.500 0.000 0.500  0.06
Ac 0.750 0.375 0.125  0.00
O 0.630 0.587 0.920  0.06
O 0.913 0.080 0.870  0.06
O 0.130 0.710 0.543  0.06
O 0.920 0.833 0.790  0.06
Hg 0.500 0.000 0.000  0.06
O 0.130 0.420 0.087  0.06
O 0.043 0.630 0.710  0.06
Hg 0.125 0.750 0.375  0.01
Hg 0.375 0.250 0.125  0.01
O 0.957 0.370 0.290  0.06
O 0.457 0.667 0.087  0.06
Ac 0.250 0.625 0.875  0.00
O 0.710 0.130 0.043  0.06
Ac 0.375 0.750 0.625  0.00
O 0.210 0.543 0.630  0.06
O 0.833 0.920 0.290  0.06
O 0.957 0.587 0.167  0.06
O 0.790 0.457 0.370  0.06
O 0.413 0.370 0.580  0.06
O 0.913 0.833 0.543  0.06
Hg 0.500 0.500 0.000  0.06
O 0.087 0.167 0.457  0.06
O 0.420 0.290 0.333  0.06
Hg 0.375 0.125 0.750  0.01
Hg 0.000 0.500 0.500  0.06
Ac 0.250 0.125 0.375  0.00
O 0.710 0.580 0.167  0.06

=====

No. 9
DFT (GGA-PBE) results for Sm2InGa3Au4 after structural relaxation.

Values from the calculation:
The formation energy is -0.60 eV per atom. As for the total magnetization: 0.000 μB per atom. The electronic total energy comes out at -4.04 eV per atom. As for the space-group type: P-4m2.

a = 4.380 Å, b = 4.380 Å, c = 11.116 Å
α = 90.00°, β = 90.00°, γ = 90.00°
Positions (direct):
In 0.500 0.500 0.500
Ga 0.000 0.500 0.129
Au 0.500 0.000 0.648
Ga 0.500 0.000 0.871
Sm 0.000 0.500 0.764
Ga 0.000 0.000 0.500
Sm 0.500 0.000 0.236
Au 0.500 0.500 0.000
Au 0.000 0.500 0.352
Au 0.000 0.000 0.000

=====

No. 10
DFT (GGA-PBE) results for CuH after structural relaxation.

Values from the calculation:
As for the total magnetization: 0.000 μB per atom. The electronic total energy comes out at -3.60 eV per atom. As for the space-group type: P4_2/mnm.

a = 4.857 Å, b = 4.857 Å, c = 2.819 Å
α = 90.00°, β = 90.00°, γ = 90.00°
Positions (direct):
Cu 0.811 0.189 0.500
H 0.674 0.326 0.000
H 0.826 0.826 0.500
Cu 0.689 0.689 0.000
Cu 0.189 0.811 0.500
Cu 0.311 0.311 0.000
H 0.326 0.674 0.000
H 0.174 0.174 0.500

=====

No. 11
DFT (GGA-PBE) results for TiNbCu after structural relaxation.

Values from the calculation:
Its energy above the lowest structure with this stoichiometry is 74 meV/atom. The formation energy is -0.02 eV per atom. As for the total magnetization: 0.000 μB per atom. The electronic total energy comes out at -7.37 eV per atom. As for the space-group type: I4mm.

a = 2.781 Å, b = 2.781 Å, c = 6.448 Å
α = 102.45°, β = 102.45°, γ = 90.00°
Positions (direct):
Cu 0.337 0.337 0.673
Nb 0.672 0.672 0.343
Ti 0.992 0.992 0.983

=====

No. 12
DFT (GGA-PBE) results for TaH2I4 after structural relaxation.

Values from the calculation:
As for the total magnetization: 0.000 μB per atom. The electronic total energy comes out at -3.73 eV per atom. As for the space-group type: P1.

a = 3.481 Å, b = 8.032 Å, c = 8.981 Å
α = 124.23°, β = 89.52°, γ = 90.28°
Positions (direct):
I 0.936 0.930 0.712
I 0.930 0.506 0.826
Ta 0.933 0.928 0.013
H 0.422 0.800 0.900
I 0.427 0.928 0.267
H 0.422 0.057 0.031
I 0.930 0.351 0.252

=====

Among the records above, which one has the highest electronic total energy?
TlHg2Pd2